Density functional theory data (PBE-GGA) for crystalline Hf2Sn2Hg at its relaxed geometry.

Lattice parameters (Å, degrees): 8.627 8.627 3.204 90.00 90.00 90.00
Atoms (fractional coordinates):
Hf  0.133  0.367  0.000
Hf  0.367  0.867  0.000
Hf  0.633  0.133  0.000
Hf  0.867  0.633  0.000
Sn  0.162  0.662  0.500
Sn  0.338  0.162  0.500
Sn  0.662  0.838  0.500
Sn  0.838  0.338  0.500
Hg  0.000  0.000  0.500
Hg  0.500  0.500  0.500

The calculation puts the formation energy at -24 meV per atom. The calculation puts the spin magnetization at 0.000 μB/atom. The calculation puts the volume at 238.4 Å³ per cell. Its space group is No. 127. For the calculated density, the calculation gives 11.07 g cm⁻³.

Density functional theory data (PBE-GGA) for crystalline HfSn3Hg at its relaxed geometry.

Lattice parameters (Å, degrees): 5.566 5.566 5.566 90.00 90.00 90.00
Atoms (fractional coordinates):
Hf  0.000  0.000  0.000
Sn  0.000  0.000  0.500
Sn  0.000  0.500  0.000
Sn  0.500  0.000  0.000
Hg  0.500  0.500  0.500

The calculation puts the formation energy at 293 meV per atom. The calculation puts the spin magnetization at 0.000 μB/atom. The calculation puts the volume at 172.4 Å³ per cell. Its space group is No. 221. For the energy above the most stable polymorph in this dataset, the calculation gives 0 meV/atom. For the calculated density, the calculation gives 7.08 g cm⁻³.

Question: What is the calculated density in the first record?
Answer: 11.07 g cm⁻³

Question: Number 1 is which compound?
Answer: Hf2Sn2Hg

Question: Which of these has the lowest calculated density?
Answer: HfSn3Hg